A plane-wave DFT calculation with PBE with a Hubbard U was carried out for ErPuNi2O6 after structural relaxation.

As for the crystal system: trigonal. Its uncorrected energy is -7.638 eV/atom. The value obtained for the density is 8.37 g cm⁻³.

The structure belongs to space group R3 (No. 146, hexagonal axes); the cell edges are 5.4076, 5.4076 and 14.6805 Å and the angles 90.00°, 90.00° and 120.00°. The inequivalent atoms are Er at (0.0000, 0.0000, 0.0000), Pu at (0.0000, 0.0000, 0.5078), Ni at (0.0000, 0.0000, 0.2040), Ni at (0.0000, 0.0000, 0.7110), O at (0.0312, 0.3525, 0.7745) and O at (0.0497, 0.6928, 0.2717).